# LiBeAl

An optimized crystal structure of LiBeAl (PBE-GGA, the Alexandria database).

Values from the calculation:
* energy of formation: 0.13 eV per atom
* crystal system: trigonal
* energy relative to the lowest polymorph listed for this composition: 120 meV per atom

a b c (Å): 4.1335 4.1335 2.6558
angles (deg): 90.00 90.00 120.00
Last column: nearest neighbours and their distance in Å.
Element x y z (fractional)
Be 0.6667 0.3333 0.3140  3 Al 2.49, 3 Li 2.54, 2 Be 2.66
Li 0.3333 0.6667 0.6368  3 Be 2.54, 3 Al 2.63, 2 Li 2.66
Al 0.0000 0.0000 0.0492  3 Be 2.49, 3 Li 2.63, 2 Al 2.66

# TcOs2W

An optimized crystal structure of TcOs2W (PBE-GGA, the Alexandria database).

Values from the calculation:
* energy of formation: 0.08 eV per atom
* crystal system: monoclinic
* energy relative to the lowest polymorph listed for this composition: 94 meV per atom

a b c (Å): 4.7673 4.7673 4.7958
angles (deg): 80.41 80.41 33.71
Last column: nearest neighbours and their distance in Å.
Element x y z (fractional)
Tc 0.7500 0.7500 0.7500  6 Os 2.73, 2 Tc 2.76, 4 W 2.77
Os 0.0013 0.0013 0.9874  6 Os 2.67-2.87, 3 Tc 2.73, 3 W 2.78
Os 0.4987 0.4987 0.5126  6 Os 2.67-2.87, 3 Tc 2.73, 3 W 2.78
W 0.2500 0.2500 0.2500  2 W 2.76, 4 Tc 2.77, 6 Os 2.78

# AgIr2W

An optimized crystal structure of AgIr2W (PBE-GGA, the Alexandria database).

Values from the calculation:
* energy of formation: 0.27 eV per atom
* crystal system: tetragonal
* energy relative to the lowest polymorph listed for this composition: 267 meV per atom

a b c (Å): 2.7474 2.7474 8.2646
angles (deg): 90.00 90.00 90.00
Last column: nearest neighbours and their distance in Å.
Element x y z (fractional)
W 0.0000 0.0000 0.4867  4 W 2.75, 4 Ir 2.78, 4 Ag 2.94
Ag 0.5000 0.5000 0.7533  4 Ag 2.75, 4 Ir 2.90, 4 W 2.94
Ir 0.5000 0.5000 0.2459  8 Ir 2.73-2.75, 4 W 2.78
Ir 0.0000 0.0000 0.0141  8 Ir 2.73-2.75, 4 Ag 2.90